Record 1
A plane-wave DFT calculation with PBE was carried out for a geometry-optimized K2HgS2 structure.

Cell and atoms, written as CIF:
```
data_K2HgS2
_chemical_formula_sum 'K4 Hg2 S4'
_cell_length_a 7.665
_cell_length_b 7.665
_cell_length_c 4.645
_cell_angle_alpha 90.00
_cell_angle_beta 90.00
_cell_angle_gamma 90.00
_symmetry_space_group_name_H-M 'P 4/m b m'
_symmetry_Int_Tables_number 127
_symmetry_space_group_name_Hall '-P 4 2ab'
loop_
_atom_site_label
_atom_site_type_symbol
_atom_site_fract_x
_atom_site_fract_y
_atom_site_fract_z
K1 K 0.139 0.361 0.000
Hg1 Hg 0.000 0.000 0.500
S1 S 0.178 0.678 0.500
```

Summary:
Electronic total energy, eV per atom: -2.751
Formation energy (no corrections), eV/atom: -0.6008



Record 2
A plane-wave DFT calculation with PBE was carried out for a geometry-optimized KHg5S4 structure.

Cell and atoms, written as CIF:
```
data_KHg5S4
_chemical_formula_sum 'K2 Hg10 S8'
_cell_length_a 9.120
_cell_length_b 12.208
_cell_length_c 5.239
_cell_angle_alpha 90.00
_cell_angle_beta 90.00
_cell_angle_gamma 90.00
_symmetry_space_group_name_H-M 'P m m n'
_symmetry_Int_Tables_number 59
loop_
_symmetry_equiv_pos_as_xyz
'x,y,z'
'-x,-y,-z'
'-x+1/2,-y+1/2,z'
'x+1/2,y+1/2,-z'
'x+1/2,-y,-z'
'-x+1/2,y,z'
'-x,y+1/2,-z'
'x,-y+1/2,z'
loop_
_atom_site_label
_atom_site_type_symbol
_atom_site_fract_x
_atom_site_fract_y
_atom_site_fract_z
K1 K 0.250 0.250 0.018
Hg1 Hg 0.062 0.561 0.310
Hg2 Hg 0.250 0.750 0.738
S1 S 0.007 0.250 0.489
S2 S 0.250 0.550 0.953
```

Summary:
Electronic total energy, eV per atom: -2.089
Formation energy (no corrections), eV/atom: -0.1770



Among the records above, which one has the lowest electronic total energy? K2HgS2



Which of these has the lowest electronic total energy? K2HgS2



Number 2 is which compound? KHg5S4



Which of these has the lowest electronic total energy? K2HgS2